Compound: Ba3Br
Source: Alexandria via LeMat-Bulk
Functional: PBE-GGA
Structure: relaxed

The value obtained for the offset from the most stable computed form is 0.2697 eV per atom. The total DFT energy (no corrections) comes out at -2.3450 eV per atom. As for the crystal system: orthorhombic.

It has space group Pmmn (No. 59, origin choice 2), with a = 6.834 Å, b = 7.700 Å, c = 8.708 Å, α = 90.00°, β = 90.00° and γ = 90.00°. Symmetry generates all atoms from Ba at (0.250, 0.001, 0.113), Ba at (0.250, 0.750, 0.608) and Br at (0.250, 0.250, 0.435).

Compound: Ba5Br
Source: Alexandria via LeMat-Bulk
Functional: PBE-GGA
Structure: relaxed

The value obtained for the offset from the most stable computed form is 0.0000 eV per atom. The total DFT energy (no corrections) comes out at -2.3171 eV per atom. As for the crystal system: monoclinic.

It has space group Cm (No. 8), with a = 14.922 Å, b = 4.335 Å, c = 11.162 Å, α = 90.00°, β = 106.16° and γ = 90.00°. Symmetry generates all atoms from Ba at (0.000, 0.000, 0.000), Ba at (0.077, 0.000, 0.417), Ba at (0.194, 0.500, 0.808), Ba at (0.307, 0.000, 0.184), Ba at (0.398, 0.000, 0.632) and Br at (0.263, 0.500, 0.411).

Compound: Ba2Br3
Source: Alexandria via LeMat-Bulk
Functional: PBE-GGA
Structure: relaxed

The value obtained for the offset from the most stable computed form is 0.0000 eV per atom. The total DFT energy (no corrections) comes out at -3.6224 eV per atom. As for the crystal system: trigonal.

It has space group R-3m (No. 166, hexagonal axes), with a = 4.9002 Å, b = 4.9002 Å, c = 31.7858 Å, α = 90.00°, β = 90.00° and γ = 120.00°. Symmetry generates all atoms from Ba at (0.0000, 0.0000, 0.1064), Br at (0.0000, 0.0000, 0.2768) and Br at (0.0000, 0.0000, 0.5000).

Compound: Ba3Br
Source: Alexandria via LeMat-Bulk
Functional: PBE-GGA
Structure: relaxed

The value obtained for the offset from the most stable computed form is 0.1101 eV per atom. The total DFT energy (no corrections) comes out at -2.5046 eV per atom. As for the crystal system: orthorhombic.

It has space group Pmm2 (No. 25), with a = 4.213 Å, b = 4.227 Å, c = 11.981 Å, α = 90.00°, β = 90.00° and γ = 90.00°. Symmetry generates all atoms from Ba at (0.000, 0.000, 0.000), Ba at (0.000, 0.500, 0.388), Ba at (0.500, 0.500, 0.711) and Br at (0.500, 0.000, 0.235).

Compound: Ba5Br4
Source: Alexandria via LeMat-Bulk
Functional: PBE-GGA
Structure: relaxed

The value obtained for the offset from the most stable computed form is 0.1203 eV per atom. The total DFT energy (no corrections) comes out at -2.9543 eV per atom. As for the crystal system: hexagonal.

It has space group P6_3/mcm (No. 193), with a = 10.4291 Å, b = 10.4291 Å, c = 7.6547 Å, α = 90.00°, β = 90.00° and γ = 120.00°. Symmetry generates all atoms from Ba at (0.0000, 0.2767, 0.2500), Ba at (0.3333, 0.6667, 0.0000), Br at (0.0000, 0.0000, 0.0000) and Br at (0.0000, 0.3886, 0.7500).

Compound: Ba3Br
Source: Alexandria via LeMat-Bulk
Functional: PBE-GGA
Structure: relaxed

The value obtained for the offset from the most stable computed form is 0.3013 eV per atom. The total DFT energy (no corrections) comes out at -2.3134 eV per atom. As for the crystal system: orthorhombic.

It has space group Cmmm (No. 65), with a = 8.393 Å, b = 11.284 Å, c = 4.353 Å, α = 90.00°, β = 90.00° and γ = 90.00°. Symmetry generates all atoms from Ba at (0.000, 0.000, 0.000), Ba at (0.250, 0.250, 0.500) and Br at (0.000, 0.500, 0.000).

Compound: Ba2Br
Source: Alexandria via LeMat-Bulk
Functional: PBE-GGA
Structure: relaxed

The value obtained for the offset from the most stable computed form is 0.2750 eV per atom. The total DFT energy (no corrections) comes out at -2.5794 eV per atom. As for the crystal system: cubic.

It has space group Fm-3m (No. 225), with a = 8.051 Å, b = 8.051 Å, c = 8.051 Å, α = 90.00°, β = 90.00° and γ = 90.00°. Symmetry generates all atoms from Ba at (0.250, 0.250, 0.250) and Br at (0.000, 0.000, 0.000).

Compound: Ba2Br
Source: Alexandria via LeMat-Bulk
Functional: PBE-GGA
Structure: relaxed

The value obtained for the offset from the most stable computed form is 0.2056 eV per atom. The total DFT energy (no corrections) comes out at -2.6488 eV per atom. As for the crystal system: hexagonal.

It has space group P-62m (No. 189), with a = 10.4099 Å, b = 10.4099 Å, c = 4.4497 Å, α = 90.00°, β = 90.00° and γ = 120.00°. Symmetry generates all atoms from Ba at (0.0000, 0.2484, 0.0000), Ba at (0.0000, 0.5780, 0.5000), Br at (0.0000, 0.0000, 0.5000) and Br at (0.3333, 0.6667, 0.0000).

Number 5 is which compound?
Ba5Br4

Copy entry 5 word for word.
Compound: Ba5Br4
Source: Alexandria via LeMat-Bulk
Functional: PBE-GGA
Structure: relaxed

The value obtained for the offset from the most stable computed form is 0.1203 eV per atom. The total DFT energy (no corrections) comes out at -2.9543 eV per atom. As for the crystal system: hexagonal.

It has space group P6_3/mcm (No. 193), with a = 10.4291 Å, b = 10.4291 Å, c = 7.6547 Å, α = 90.00°, β = 90.00° and γ = 120.00°. Symmetry generates all atoms from Ba at (0.0000, 0.2767, 0.2500), Ba at (0.3333, 0.6667, 0.0000), Br at (0.0000, 0.0000, 0.0000) and Br at (0.0000, 0.3886, 0.7500).